VASP calculation (PBE) on a relaxed structure of Tb8Ge3Te3Se.

The structure in POSCAR format:
```
Tb8Ge3Te3Se
1.0
4.217 2.435 6.982
-4.217 2.435 6.982
0.000 -4.869 6.982
Tb Ge Te Se
8 3 3 1
Direct
0.230 0.749 0.749
0.241 0.241 0.241
0.251 0.251 0.770
0.251 0.770 0.251
0.749 0.230 0.749
0.749 0.749 0.230
0.759 0.759 0.759
0.770 0.251 0.251
0.000 0.000 0.500
0.000 0.500 0.000
0.500 0.000 0.000
0.000 0.500 0.500
0.500 0.000 0.500
0.500 0.500 0.000
0.500 0.500 0.500
```

Calculated values
**Uncorrected formation energy**: -1167 meV per atom
**Density**: 7.533 g cm⁻³
**Magnetic moment**: 0.00 μB per atom
**Space group**: No. 166